VASP calculation (PBE) on a relaxed structure of Ac2CuBr. Values from VASP.

Calculated values
The calculation puts the total magnetic moment at 0.00 Bohr magnetons per cell. The value obtained for the energy relative to the lowest polymorph listed for this composition is 0.45 eV per formula unit. For the raw formation energy, the calculation gives -0.568 eV/atom. Its total energy is -16.3 eV/cell.

Structure (Quantum ESPRESSO input):
```
&SYSTEM
  ibrav = 0, nat = 4, ntyp = 3
/
ATOMIC_SPECIES
Ac 227.00 Ac.upf
Cu 63.55 Cu.upf
Br 79.90 Br.upf
ATOMIC_POSITIONS crystal
Ac 0.000 0.000 0.218
Ac 0.000 0.000 0.782
Cu 0.500 0.500 0.000
Br 0.500 0.500 0.500
CELL_PARAMETERS angstrom
3.723 0.000 0.000
0.000 3.723 0.000
0.000 0.000 8.761
```